(one)
TaS2IN after structural relaxation, computed with PBE-GGA.

The structure in CIF format:
```
data_TaS2IN
_chemical_formula_sum 'Ta1 S2 I1 N1'
_symmetry_space_group_name_H-M 'P 4/m m m'
_symmetry_Int_Tables_number 123
_symmetry_space_group_name_Hall '-P 4 2'
_cell_length_a 5.154
_cell_length_b 5.154
_cell_length_c 3.825
_cell_angle_alpha 90.00
_cell_angle_beta 90.00
_cell_angle_gamma 90.00
loop_
_atom_site_label
_atom_site_fract_x
_atom_site_fract_y
_atom_site_fract_z
_atom_site_occupancy
Ta1 0.000 0.000 0.000 1
S1 0.000 0.500 0.500 1
I1 0.500 0.500 0.500 1
N1 0.500 0.500 0.000 1
```

Computed properties:
Mass density: 6.31 g/cm³



(two)
TaS2IN after structural relaxation, computed with PBE-GGA.

The structure in CIF format:
```
data_TaS2IN
_chemical_formula_sum 'Ta1 S2 I1 N1'
_symmetry_space_group_name_H-M 'P 4/m m m'
_symmetry_Int_Tables_number 123
_symmetry_space_group_name_Hall '-P 4 2'
_cell_length_a 5.006
_cell_length_b 5.006
_cell_length_c 3.959
_cell_angle_alpha 90.00
_cell_angle_beta 90.00
_cell_angle_gamma 90.00
loop_
_atom_site_label
_atom_site_fract_x
_atom_site_fract_y
_atom_site_fract_z
_atom_site_occupancy
Ta1 0.000 0.000 0.000 1
S1 0.000 0.500 0.000 1
I1 0.500 0.500 0.500 1
N1 0.000 0.000 0.500 1
```

Computed properties:
Mass density: 6.46 g/cm³



Short version: (two) is the most stable of them.



(one)
TcSIN2 after structural relaxation, computed with PBE-GGA.

The structure in CIF format:
```
data_TcSIN2
_chemical_formula_sum 'Tc1 S1 I1 N2'
_symmetry_space_group_name_H-M 'P 4/m m m'
_symmetry_Int_Tables_number 123
_symmetry_space_group_name_Hall '-P 4 2'
_cell_length_a 3.852
_cell_length_b 3.852
_cell_length_c 5.981
_cell_angle_alpha 90.00
_cell_angle_beta 90.00
_cell_angle_gamma 90.00
loop_
_atom_site_label
_atom_site_fract_x
_atom_site_fract_y
_atom_site_fract_z
_atom_site_occupancy
Tc1 0.000 0.000 0.000 1
S1 0.500 0.500 0.500 1
I1 0.000 0.000 0.500 1
N1 0.000 0.500 0.000 1
```

Computed properties:
Mass density: 5.33 g/cm³



(two)
TcSIN2 after structural relaxation, computed with PBE-GGA.

The structure in CIF format:
```
data_TcSIN2
_chemical_formula_sum 'Tc1 S1 I1 N2'
_symmetry_space_group_name_H-M 'P 4/m m m'
_symmetry_Int_Tables_number 123
_symmetry_space_group_name_Hall '-P 4 2'
_cell_length_a 3.888
_cell_length_b 3.888
_cell_length_c 6.215
_cell_angle_alpha 90.00
_cell_angle_beta 90.00
_cell_angle_gamma 90.00
loop_
_atom_site_label
_atom_site_fract_x
_atom_site_fract_y
_atom_site_fract_z
_atom_site_occupancy
Tc1 0.000 0.000 0.000 1
S1 0.500 0.500 0.000 1
I1 0.500 0.500 0.500 1
N1 0.000 0.500 0.500 1
```

Computed properties:
Mass density: 5.04 g/cm³



Short version: (one) is the most stable of them.



(one)
TcSIN2 after structural relaxation, computed with PBE-GGA.

The structure in CIF format:
```
data_TcSIN2
_chemical_formula_sum 'Tc1 S1 I1 N2'
_symmetry_space_group_name_H-M 'P 4/m m m'
_symmetry_Int_Tables_number 123
_symmetry_space_group_name_Hall '-P 4 2'
_cell_length_a 3.885
_cell_length_b 3.885
_cell_length_c 5.486
_cell_angle_alpha 90.00
_cell_angle_beta 90.00
_cell_angle_gamma 90.00
loop_
_atom_site_label
_atom_site_fract_x
_atom_site_fract_y
_atom_site_fract_z
_atom_site_occupancy
Tc1 0.000 0.000 0.000 1
S1 0.000 0.000 0.500 1
I1 0.500 0.500 0.500 1
N1 0.000 0.500 0.000 1
```

Computed properties:
Mass density: 5.71 g/cm³



(two)
TcSIN2 after structural relaxation, computed with PBE-GGA.

The structure in CIF format:
```
data_TcSIN2
_chemical_formula_sum 'Tc1 S1 I1 N2'
_symmetry_space_group_name_H-M 'P 4/m m m'
_symmetry_Int_Tables_number 123
_symmetry_space_group_name_Hall '-P 4 2'
_cell_length_a 3.677
_cell_length_b 3.677
_cell_length_c 6.871
_cell_angle_alpha 90.00
_cell_angle_beta 90.00
_cell_angle_gamma 90.00
loop_
_atom_site_label
_atom_site_fract_x
_atom_site_fract_y
_atom_site_fract_z
_atom_site_occupancy
Tc1 0.000 0.000 0.000 1
S1 0.500 0.500 0.500 1
I1 0.500 0.500 0.000 1
N1 0.000 0.500 0.500 1
```

Computed properties:
Mass density: 5.09 g/cm³



Short version: (one) is the most stable of them.



(one)
TcS2IN after structural relaxation, computed with PBE-GGA.

The structure in CIF format:
```
data_TcS2IN
_chemical_formula_sum 'Tc1 S2 I1 N1'
_symmetry_space_group_name_H-M 'P 4/m m m'
_symmetry_Int_Tables_number 123
_symmetry_space_group_name_Hall '-P 4 2'
_cell_length_a 4.885
_cell_length_b 4.885
_cell_length_c 3.777
_cell_angle_alpha 90.00
_cell_angle_beta 90.00
_cell_angle_gamma 90.00
loop_
_atom_site_label
_atom_site_fract_x
_atom_site_fract_y
_atom_site_fract_z
_atom_site_occupancy
Tc1 0.000 0.000 0.000 1
S1 0.000 0.500 0.000 1
I1 0.500 0.500 0.500 1
N1 0.000 0.000 0.500 1
```

Computed properties:
Mass density: 5.58 g/cm³



(two)
TcS2IN after structural relaxation, computed with PBE-GGA.

The structure in CIF format:
```
data_TcS2IN
_chemical_formula_sum 'Tc1 S2 I1 N1'
_symmetry_space_group_name_H-M 'P 4/m m m'
_symmetry_Int_Tables_number 123
_symmetry_space_group_name_Hall '-P 4 2'
_cell_length_a 5.199
_cell_length_b 5.199
_cell_length_c 3.932
_cell_angle_alpha 90.00
_cell_angle_beta 90.00
_cell_angle_gamma 90.00
loop_
_atom_site_label
_atom_site_fract_x
_atom_site_fract_y
_atom_site_fract_z
_atom_site_occupancy
Tc1 0.000 0.000 0.000 1
S1 0.000 0.500 0.500 1
I1 0.500 0.500 0.500 1
N1 0.500 0.500 0.000 1
```

Computed properties:
Mass density: 4.74 g/cm³



Short version: (one) is the most stable of them.



(one)
TeSI2N after structural relaxation, computed with PBE-GGA.

The structure in CIF format:
```
data_TeSI2N
_chemical_formula_sum 'Te1 S1 I2 N1'
_symmetry_space_group_name_H-M 'P 4/m m m'
_symmetry_Int_Tables_number 123
_symmetry_space_group_name_Hall '-P 4 2'
_cell_length_a 6.561
_cell_length_b 6.561
_cell_length_c 3.302
_cell_angle_alpha 90.00
_cell_angle_beta 90.00
_cell_angle_gamma 90.00
loop_
_atom_site_label
_atom_site_fract_x
_atom_site_fract_y
_atom_site_fract_z
_atom_site_occupancy
Te1 0.000 0.000 0.000 1
S1 0.500 0.500 0.500 1
I1 0.000 0.500 0.500 1
N1 0.500 0.500 0.000 1
```

Computed properties:
Mass density: 4.99 g/cm³



(two)
TeSI2N after structural relaxation, computed with PBE-GGA.

The structure in CIF format:
```
data_TeSI2N
_chemical_formula_sum 'Te1 S1 I2 N1'
_symmetry_space_group_name_H-M 'P 4/m m m'
_symmetry_Int_Tables_number 123
_symmetry_space_group_name_Hall '-P 4 2'
_cell_length_a 4.776
_cell_length_b 4.776
_cell_length_c 5.212
_cell_angle_alpha 90.00
_cell_angle_beta 90.00
_cell_angle_gamma 90.00
loop_
_atom_site_label
_atom_site_fract_x
_atom_site_fract_y
_atom_site_fract_z
_atom_site_occupancy
Te1 0.000 0.000 0.000 1
S1 0.500 0.500 0.000 1
I1 0.000 0.500 0.500 1
N1 0.000 0.000 0.500 1
```

Computed properties:
Mass density: 5.97 g/cm³



Short version: (one) is the most stable of them.



(one)
TiSIN2 after structural relaxation, computed with PBE-GGA.

The structure in CIF format:
```
data_TiSIN2
_chemical_formula_sum 'Ti1 S1 I1 N2'
_symmetry_space_group_name_H-M 'P 4/m m m'
_symmetry_Int_Tables_number 123
_symmetry_space_group_name_Hall '-P 4 2'
_cell_length_a 3.878
_cell_length_b 3.878
_cell_length_c 6.445
_cell_angle_alpha 90.00
_cell_angle_beta 90.00
_cell_angle_gamma 90.00
loop_
_atom_site_label
_atom_site_fract_x
_atom_site_fract_y
_atom_site_fract_z
_atom_site_occupancy
Ti1 0.000 0.000 0.000 1
S1 0.500 0.500 0.500 1
I1 0.000 0.000 0.500 1
N1 0.000 0.500 0.000 1
```

Computed properties:
Mass density: 4.02 g/cm³



(two)
TiSIN2 after structural relaxation, computed with PBE-GGA.

The structure in CIF format:
```
data_TiSIN2
_chemical_formula_sum 'Ti1 S1 I1 N2'
_symmetry_space_group_name_H-M 'P 4/m m m'
_symmetry_Int_Tables_number 123
_symmetry_space_group_name_Hall '-P 4 2'
_cell_length_a 3.933
_cell_length_b 3.933
_cell_length_c 5.496
_cell_angle_alpha 90.00
_cell_angle_beta 90.00
_cell_angle_gamma 90.00
loop_
_atom_site_label
_atom_site_fract_x
_atom_site_fract_y
_atom_site_fract_z
_atom_site_occupancy
Ti1 0.000 0.000 0.000 1
S1 0.000 0.000 0.500 1
I1 0.500 0.500 0.500 1
N1 0.000 0.500 0.000 1
```

Computed properties:
Mass density: 4.59 g/cm³



Short version: (two) is the most stable of them.



(one)
VSI2N after structural relaxation, computed with PBE-GGA.

The structure in CIF format:
```
data_VSI2N
_chemical_formula_sum 'V1 S1 I2 N1'
_symmetry_space_group_name_H-M 'P 4/m m m'
_symmetry_Int_Tables_number 123
_symmetry_space_group_name_Hall '-P 4 2'
_cell_length_a 5.487
_cell_length_b 5.487
_cell_length_c 3.662
_cell_angle_alpha 90.00
_cell_angle_beta 90.00
_cell_angle_gamma 90.00
loop_
_atom_site_label
_atom_site_fract_x
_atom_site_fract_y
_atom_site_fract_z
_atom_site_occupancy
V1 0.000 0.000 0.000 1
S1 0.500 0.500 0.500 1
I1 0.000 0.500 0.000 1
N1 0.000 0.000 0.500 1
```

Computed properties:
Mass density: 5.28 g/cm³



(two)
VSI2N after structural relaxation, computed with PBE-GGA.

The structure in CIF format:
```
data_VSI2N
_chemical_formula_sum 'V1 S1 I2 N1'
_symmetry_space_group_name_H-M 'P 4/m m m'
_symmetry_Int_Tables_number 123
_symmetry_space_group_name_Hall '-P 4 2'
_cell_length_a 5.766
_cell_length_b 5.766
_cell_length_c 3.405
_cell_angle_alpha 90.00
_cell_angle_beta 90.00
_cell_angle_gamma 90.00
loop_
_atom_site_label
_atom_site_fract_x
_atom_site_fract_y
_atom_site_fract_z
_atom_site_occupancy
V1 0.000 0.000 0.000 1
S1 0.500 0.500 0.500 1
I1 0.000 0.500 0.500 1
N1 0.500 0.500 0.000 1
```

Computed properties:
Mass density: 5.15 g/cm³



Short version: (one) is the most stable of them.